Entry from Alexandria: Pr5Te7 after structural relaxation (PBE).

Computed properties:
D(E_F) ... 2.32 states/eV/f.u.
Uncorrected energy ... -5.266 eV/atom

Cell: 4.400 7.758 13.941 Å, 71.17 80.92 73.52°
Sites, in units of the cell vectors:
Te1 0.742 0.865 0.651
Pr1 0.700 0.410 0.189
Te2 0.039 0.706 0.217
Pr2 0.115 0.193 0.577
Te3 0.339 0.275 0.048
Pr3 0.300 0.590 0.811
Te4 0.500 0.500 0.500
Pr4 0.885 0.807 0.423
Te5 0.961 0.294 0.783
Te6 0.661 0.725 0.952
Te7 0.258 0.135 0.349
Pr5 0.000 0.000 0.000